(1)
The following is a DFT calculation (PBE) of a relaxed Pm8Ag2Os crystal.

Magnetization ... 0.00 μB per formula unit
Energy relative to the elements ... -0.10 eV/atom
Offset from the most stable computed form ... 0.0000 eV/atom
DOS(E_F) ... 12.50 states/eV/cell
Space-group type ... C2/m, No. 12

abc: 9.3228 9.3228 7.0572
angles: 106.33 106.33 33.09
Last column: nearest neighbours and their distance in Å.
Sites, in units of the cell vectors:
1 Pm 0.0254 0.0254 0.2939  1 Ag 3.01, 2 Os 3.12, 1 Pm 3.29
2 Pm 0.2007 0.2007 0.8102  1 Ag 2.98
3 Pm 0.3412 0.3412 0.5267  1 Os 2.90, 1 Ag 3.03
4 Pm 0.4111 0.4111 0.0666  1 Os 3.00
5 Pm 0.5889 0.5889 0.9334  1 Os 3.00
6 Pm 0.6588 0.6588 0.4733  1 Os 2.90, 1 Ag 3.03
7 Pm 0.7993 0.7993 0.1898  1 Ag 2.98
8 Pm 0.9746 0.9746 0.7061  1 Ag 3.01, 2 Os 3.12, 1 Pm 3.29
9 Ag 0.1823 0.1823 0.2167  5 Pm 2.98-3.31
10 Ag 0.8177 0.8177 0.7833  5 Pm 2.98-3.31
11 Os 0.5000 0.5000 0.5000  8 Pm 2.90-3.12

=====

(2)
The following is a DFT calculation (PBE) of a relaxed Tm2ScTc crystal.

Magnetization ... 0.68 μB per formula unit
Energy relative to the elements ... 0.00 eV/atom
Offset from the most stable computed form ... 0.1540 eV/atom
DOS(E_F) ... 6.48 states/eV/cell
Space-group type ... P4/mmm, No. 123

abc: 3.4207 3.4207 8.1604
angles: 90.00 90.00 90.00
Last column: nearest neighbours and their distance in Å.
Sites, in units of the cell vectors:
1 Tm 0.0000 0.0000 0.1975  4 Tc 2.91, 1 Tm 3.22
2 Tm 0.0000 0.0000 0.8025  4 Tc 2.91, 1 Tm 3.22
3 Sc 0.5000 0.5000 0.5000  4 Sc 3.42, 8 Tm 3.46
4 Tc 0.5000 0.5000 0.0000  8 Tm 2.91

=====

(3)
The following is a DFT calculation (PBE) of a relaxed MgSc2In crystal.

Magnetization ... 0.40 μB per formula unit
Energy relative to the elements ... -0.29 eV/atom
Offset from the most stable computed form ... 0.0042 eV/atom
DOS(E_F) ... 3.42 states/eV/cell
Space-group type ... P4/mmm, No. 123

abc: 4.6334 4.6334 4.2024
angles: 90.00 90.00 90.00
Last column: nearest neighbours and their distance in Å.
Sites, in units of the cell vectors:
1 Mg 0.0000 0.0000 0.0000  8 Sc 3.13, 4 In 3.28
2 Sc 0.0000 0.5000 0.5000  4 In 3.13, 4 Mg 3.13, 4 Sc 3.28
3 Sc 0.5000 0.0000 0.5000  4 In 3.13, 4 Mg 3.13, 4 Sc 3.28
4 In 0.5000 0.5000 0.0000  8 Sc 3.13, 4 Mg 3.28

=====

(4)
The following is a DFT calculation (PBE) of a relaxed Sr2ZnSn3Pt4 crystal.

Magnetization ... 0.00 μB per formula unit
Energy relative to the elements ... -0.77 eV/atom
DOS(E_F) ... 5.07 states/eV/cell
Space-group type ... P-4m2, No. 115

abc: 4.6870 4.6870 10.4856
angles: 90.00 90.00 90.00
Last column: nearest neighbours and their distance in Å.
Sites, in units of the cell vectors:
1 Sr 0.0000 0.5000 0.2493  9 Pt 3.51-3.90, 6 Sn 3.52-3.56, 2 Zn 3.52
2 Sr 0.5000 0.0000 0.7507  9 Pt 3.51-3.90, 6 Sn 3.52-3.56, 2 Zn 3.52
3 Zn 0.0000 0.0000 0.5000  4 Pt 2.67
4 Sn 0.0000 0.5000 0.8737  5 Pt 2.65-2.69
5 Sn 0.5000 0.0000 0.1263  5 Pt 2.65-2.69
6 Sn 0.5000 0.5000 0.5000  4 Pt 2.67
7 Pt 0.0000 0.0000 0.0000  4 Sn 2.69
8 Pt 0.0000 0.5000 0.6211  3 Sn 2.65-2.67, 2 Zn 2.67
9 Pt 0.5000 0.0000 0.3789  3 Sn 2.65-2.67, 2 Zn 2.67
10 Pt 0.5000 0.5000 0.0000  4 Sn 2.69

=====

(5)
The following is a DFT calculation (PBE) of a relaxed Li2IrRh crystal.

Magnetization ... 0.00 μB per formula unit
Energy relative to the elements ... -0.15 eV/atom
Offset from the most stable computed form ... 0.0708 eV/atom
DOS(E_F) ... 3.00 states/eV/cell
Space-group type ... Cm, No. 8

abc: 4.7236 4.7236 4.6321
angles: 99.85 99.85 33.19
Last column: nearest neighbours and their distance in Å.
Sites, in units of the cell vectors:
1 Li 0.0000 0.0000 0.0000  3 Li 2.42-2.70, 2 Rh 2.62
2 Li 0.2375 0.2375 0.8277  3 Li 2.42-2.70, 2 Ir 2.64
3 Ir 0.7469 0.7469 0.3402  3 Rh 2.52-2.57, 4 Li 2.64-2.72, 2 Ir 2.70
4 Rh 0.4903 0.4903 0.4819  3 Ir 2.52-2.57, 4 Li 2.62-2.74, 2 Rh 2.70

=====

(6)
The following is a DFT calculation (PBE) of a relaxed Ac2ErRuO8 crystal.

ΔE_f (raw) ... -2268 meV per atom
Magnetization ... 1.00 μB per formula unit
DOS(E_F) ... 2.22 states/eV/cell
Space-group type ... P2/m, No. 10

abc: 4.5764 7.1920 5.5455
angles: 90.00 97.07 90.00
Last column: nearest neighbours and their distance in Å.
Sites, in units of the cell vectors:
1 Ac 0.0000 0.2422 0.0000  4 O 2.34-2.59
2 Ac 0.0000 0.7578 0.0000  4 O 2.34-2.59
3 Er 0.5000 0.5000 0.5000  2 O 2.17
4 Ru 0.5000 0.0000 0.5000  6 O 1.83-2.01
5 O 0.0919 0.5000 0.2548  1 Er 2.17, 2 Ac 2.34
6 O 0.1245 0.0000 0.3428  1 Ru 1.83
7 O 0.4238 0.2111 0.7206  1 Ru 2.01
8 O 0.4238 0.7889 0.7206  1 Ru 2.01
9 O 0.5762 0.2111 0.2794  1 Ru 2.01
10 O 0.5762 0.7889 0.2794  1 Ru 2.01
11 O 0.8755 0.0000 0.6572  1 Ru 1.83
12 O 0.9081 0.5000 0.7452  1 Er 2.17, 2 Ac 2.34

=====

(7)
The following is a DFT calculation (PBE) of a relaxed HoErPd crystal.

Magnetization ... 0.00 μB per formula unit
Energy relative to the elements ... -0.59 eV/atom
Offset from the most stable computed form ... 0.0035 eV/atom
DOS(E_F) ... 10.43 states/eV/cell
Space-group type ... P-62m, No. 189

abc: 7.3455 7.3455 4.8168
angles: 90.00 90.00 120.00
Last column: nearest neighbours and their distance in Å.
Sites, in units of the cell vectors:
1 Ho 0.0000 0.7365 0.0000  2 Pd 2.74
2 Ho 0.2635 0.2635 0.0000  2 Pd 2.74
3 Ho 0.7365 0.0000 0.0000  2 Pd 2.74
4 Er 0.0000 0.4062 0.5000  5 Pd 2.98-3.28
5 Er 0.4062 0.0000 0.5000  5 Pd 2.98-3.28
6 Er 0.5938 0.5938 0.5000  5 Pd 2.98-3.28
7 Pd 0.0000 0.0000 0.5000  3 Er 2.98, 6 Ho 3.09
8 Pd 0.3333 0.6667 0.0000  3 Ho 2.74
9 Pd 0.6667 0.3333 0.0000  3 Ho 2.74

=====

(8)
The following is a DFT calculation (PBE) of a relaxed LiNi2Hg crystal.

Magnetization ... 0.94 μB per formula unit
Energy relative to the elements ... 0.07 eV/atom
DOS(E_F) ... 3.72 states/eV/cell
Space-group type ... P4mm, No. 99

abc: 3.0221 3.0221 6.1310
angles: 90.00 90.00 90.00
Last column: nearest neighbours and their distance in Å.
Sites, in units of the cell vectors:
1 Li 0.0000 0.0000 0.0000  5 Ni 2.58-2.59, 4 Hg 2.76
2 Ni 0.0000 0.0000 0.4212  4 Ni 2.42, 1 Li 2.58
3 Ni 0.5000 0.5000 0.2373  4 Ni 2.42, 4 Li 2.59
4 Hg 0.5000 0.5000 0.7152  4 Li 2.76, 5 Ni 2.80-2.93, 4 Hg 3.02

=====

> Which value of DOS(E_F) does entry 1 give?

12.50 states/eV/cell